# 1
Compound: MnInCl4
Source: Alexandria via LeMat-Bulk
Functional: GGA-PBE
Structure: optimized geometry

* E_tot: -2.878 eV/atom
* ΔE to the lowest computed polymorph: 1082 meV/atom
* space group: F-43m
* uncorrected formation energy: 337 meV/atom
* size of the total moment: 7.50 μB per formula unit

a = 6.0548 Å, b = 6.0548 Å, c = 6.0548 Å
α = 60.00°, β = 60.00°, γ = 60.00°
Closest atoms and distances in Å follow each position.
Atoms (fractional coordinates):
1 Cl 0.3746 0.3746 0.8762  6 Cl 3.02-3.04
2 Cl 0.8762 0.3746 0.3746  6 Cl 3.02-3.04
3 Cl 0.3746 0.3746 0.3746  6 Cl 3.02-3.04
4 Cl 0.3746 0.8762 0.3746  6 Cl 3.02-3.04
5 Mn 0.0000 0.0000 0.0000  12 Cl 3.55, 4 In 3.71
6 In 0.7500 0.7500 0.7500  12 Cl 3.55, 4 Mn 3.71

# 2
Compound: MnIn2Cl4
Source: Alexandria via LeMat-Bulk
Functional: GGA-PBE
Structure: optimized geometry

* E_tot: -4.081 eV/atom
* ΔE to the lowest computed polymorph: 0 meV/atom
* space group: Pbam
* uncorrected formation energy: -933 meV/atom
* size of the total moment: 5.00 μB per formula unit

a = 3.9094 Å, b = 8.6796 Å, c = 11.7087 Å
α = 90.00°, β = 90.00°, γ = 90.00°
Closest atoms and distances in Å follow each position.
Atoms (fractional coordinates):
1 In 0.5000 0.4256 0.6789  5 Cl 3.00-3.16
2 In 0.5000 0.0744 0.1789  5 Cl 3.00-3.16
3 In 0.5000 0.5744 0.3211  5 Cl 3.00-3.16
4 In 0.5000 0.9256 0.8211  5 Cl 3.00-3.16
5 Cl 0.0000 0.8605 0.3140  1 Mn 2.49
6 Cl 0.0000 0.6395 0.8140  1 Mn 2.49
7 Cl 0.5000 0.3296 0.9248  2 Mn 2.60
8 Cl 0.5000 0.1704 0.4248  2 Mn 2.60
9 Cl 0.0000 0.3605 0.1860  1 Mn 2.49
10 Cl 0.5000 0.6704 0.0752  2 Mn 2.60
11 Cl 0.5000 0.8296 0.5752  2 Mn 2.60
12 Cl 0.0000 0.1395 0.6860  1 Mn 2.49
13 Mn 0.0000 0.0000 0.5000  6 Cl 2.49-2.60
14 Mn 0.0000 0.5000 0.0000  6 Cl 2.49-2.60

# 3
Compound: MnInCl2
Source: Alexandria via LeMat-Bulk
Functional: GGA-PBE
Structure: optimized geometry

* E_tot: -4.345 eV/atom
* ΔE to the lowest computed polymorph: 203 meV/atom
* space group: Cmm2
* uncorrected formation energy: -445 meV/atom
* size of the total moment: 4.55 μB per formula unit

a = 3.5727 Å, b = 3.5727 Å, c = 9.0681 Å
α = 90.00°, β = 90.00°, γ = 117.23°
Closest atoms and distances in Å follow each position.
Atoms (fractional coordinates):
1 In 0.0000 0.0000 0.5151  2 Cl 2.65, 2 Mn 2.87
2 Cl 0.0000 0.0000 0.9210  2 Mn 2.39
3 Cl 0.5000 0.5000 0.3074  2 In 2.65
4 Mn 0.5000 0.5000 0.7565  2 Cl 2.39

# 4
Compound: Na2MnInCl6
Source: Alexandria via LeMat-Bulk
Functional: GGA-PBE
Structure: optimized geometry

* E_tot: -3.858 eV/atom
* space group: R3
* uncorrected formation energy: -1296 meV/atom
* size of the total moment: 4.14 μB per formula unit

a = 6.9063 Å, b = 6.9067 Å, c = 7.3399 Å
α = 61.92°, β = 61.92°, γ = 59.99°
Closest atoms and distances in Å follow each position.
Atoms (fractional coordinates):
1 Na 0.0184 0.0184 0.9448  6 Cl 2.80-2.90
2 Na 0.5248 0.5248 0.4257  6 Cl 2.82-2.93
3 Cl 0.6850 0.1072 0.7738  1 Mn 2.56, 1 In 2.74, 1 Na 2.80
4 Cl 0.1072 0.4340 0.7737  1 Mn 2.56, 1 In 2.74, 1 Na 2.80
5 Cl 0.4341 0.6850 0.7738  1 Mn 2.56, 1 In 2.74, 1 Na 2.80
6 Cl 0.5746 0.2120 0.2479  1 Mn 2.49
7 Cl 0.9655 0.5746 0.2479  1 Mn 2.49
8 Cl 0.2120 0.9655 0.2479  1 Mn 2.49
9 In 0.8181 0.8181 0.5456  6 Cl 2.74-2.88
10 Mn 0.3219 0.3220 0.0342  6 Cl 2.49-2.56

# 5
Compound: NaMnIn2Cl5
Source: Alexandria via LeMat-Bulk
Functional: GGA-PBE
Structure: optimized geometry

* E_tot: -3.915 eV/atom
* space group: Cmc2_1
* uncorrected formation energy: -1115 meV/atom
* size of the total moment: 4.99 μB per formula unit

a = 4.0812 Å, b = 9.6313 Å, c = 13.8012 Å
α = 90.00°, β = 90.00°, γ = 102.23°
Closest atoms and distances in Å follow each position.
Atoms (fractional coordinates):
1 Cl 0.2888 0.5776 0.6679  2 Na 2.79, 1 In 2.97
2 Cl 0.5159 0.0318 0.2867  1 Mn 2.30
3 Cl 0.7112 0.4224 0.1679  2 Na 2.79, 1 In 2.97
4 Cl 0.6509 0.3017 0.5102  1 Na 2.77, 2 In 2.98
5 Cl 0.3268 0.6535 0.3917  1 Mn 2.36
6 Cl 0.3491 0.6983 0.0102  1 Na 2.77, 2 In 2.98
7 Cl 0.4841 0.9682 0.7867  1 Mn 2.30
8 Cl 0.0380 0.0759 0.0214  2 Mn 2.44
9 Cl 0.6732 0.3465 0.8917  1 Mn 2.36
10 Cl 0.9620 0.9241 0.5214  2 Mn 2.44
11 In 0.1459 0.2919 0.3234  7 Cl 3.21-3.53
12 In 0.1311 0.2623 0.6652  3 Cl 2.97-2.98
13 In 0.8689 0.7377 0.1652  3 Cl 2.97-2.98
14 In 0.8541 0.7081 0.8234  7 Cl 3.21-3.53
15 Na 0.2026 0.4052 0.0310  6 Cl 2.77-3.10
16 Na 0.7974 0.5948 0.5310  6 Cl 2.77-3.10
17 Mn 0.5506 0.1012 0.9265  4 Cl 2.30-2.44
18 Mn 0.4494 0.8988 0.4265  4 Cl 2.30-2.44

# 6
Compound: NaMnInCl4
Source: Alexandria via LeMat-Bulk
Functional: GGA-PBE
Structure: optimized geometry

* E_tot: -4.143 eV/atom
* space group: P2_1/m
* uncorrected formation energy: -1199 meV/atom
* size of the total moment: 5.00 μB per formula unit

a = 6.9893 Å, b = 7.2620 Å, c = 8.4807 Å
α = 90.00°, β = 106.48°, γ = 90.00°
Closest atoms and distances in Å follow each position.
Atoms (fractional coordinates):
1 Cl 0.0216 0.9977 0.2832  1 Mn 2.37
2 Cl 0.9784 0.0023 0.7168  1 Mn 2.37
3 Cl 0.4691 0.7500 0.5922  1 Mn 2.34
4 Cl 0.9784 0.4977 0.7168  1 Mn 2.37
5 Cl 0.4545 0.7500 0.1507  1 Mn 2.33
6 Cl 0.0216 0.5023 0.2832  1 Mn 2.37
7 Cl 0.5455 0.2500 0.8493  1 Mn 2.33
8 Cl 0.5309 0.2500 0.4078  1 Mn 2.34
9 In 0.2460 0.2500 0.0704  4 Cl 2.99-3.27
10 In 0.7540 0.7500 0.9296  4 Cl 2.99-3.27
11 Mn 0.7496 0.2500 0.6739  4 Cl 2.33-2.37
12 Mn 0.2504 0.7500 0.3261  4 Cl 2.33-2.37
13 Na 0.7907 0.7500 0.4446  6 Cl 2.87-2.99
14 Na 0.2093 0.2500 0.5554  6 Cl 2.87-2.99

# 7
Compound: NaMn2In3Cl9
Source: Alexandria via LeMat-Bulk
Functional: GGA-PBE
Structure: optimized geometry

* E_tot: -3.995 eV/atom
* space group: P-3m1
* uncorrected formation energy: -1028 meV/atom
* size of the total moment: 9.00 μB per formula unit

a = 7.1450 Å, b = 7.1450 Å, c = 8.8159 Å
α = 90.00°, β = 90.00°, γ = 120.00°
Closest atoms and distances in Å follow each position.
Atoms (fractional coordinates):
1 Cl 0.5000 0.0000 0.0000  2 Mn 2.51
2 Cl 0.5000 0.5000 0.0000  2 Mn 2.51
3 Cl 0.8254 0.1746 0.6831  1 Mn 2.39
4 Cl 0.3492 0.1746 0.6831  1 Mn 2.39
5 Cl 0.1746 0.8254 0.3169  1 Mn 2.39
6 Cl 0.8254 0.6508 0.6831  1 Mn 2.39
7 Cl 0.1746 0.3492 0.3169  1 Mn 2.39
8 Cl 0.0000 0.5000 0.0000  2 Mn 2.51
9 Cl 0.6508 0.8254 0.3169  1 Mn 2.39
10 In 0.6667 0.3333 0.3653  12 Cl 3.42-3.82
11 In 0.0000 0.0000 0.0000  12 Cl 3.53-3.57
12 In 0.3333 0.6667 0.6347  12 Cl 3.42-3.82
13 Mn 0.3333 0.6667 0.1618  6 Cl 2.39-2.51
14 Mn 0.6667 0.3333 0.8382  6 Cl 2.39-2.51
15 Na 0.0000 0.0000 0.5000  6 Cl 2.70

# 8
Compound: NaMn2InCl6
Source: Alexandria via LeMat-Bulk
Functional: GGA-PBE
Structure: optimized geometry

* E_tot: -4.507 eV/atom
* space group: C2/c
* uncorrected formation energy: -1159 meV/atom
* size of the total moment: 10.00 μB per formula unit

a = 6.9881 Å, b = 9.3571 Å, c = 9.3571 Å
α = 88.81°, β = 83.81°, γ = 83.81°
Closest atoms and distances in Å follow each position.
Atoms (fractional coordinates):
1 Cl 0.8873 0.3936 0.8362  1 Mn 2.32
2 Cl 0.8327 0.0190 0.2395  1 Mn 2.33
3 Cl 0.3873 0.8362 0.3936  1 Mn 2.32
4 Cl 0.8956 0.7117 0.5767  2 Mn 2.43-2.44
5 Cl 0.6673 0.7605 0.9810  1 Mn 2.33
6 Cl 0.1673 0.9810 0.7605  1 Mn 2.33
7 Cl 0.3956 0.5767 0.7117  2 Mn 2.43-2.44
8 Cl 0.1127 0.6064 0.1638  1 Mn 2.32
9 Cl 0.1044 0.2883 0.4233  2 Mn 2.43-2.44
10 Cl 0.6044 0.4233 0.2883  2 Mn 2.43-2.44
11 Cl 0.6127 0.1638 0.6064  1 Mn 2.32
12 Cl 0.3327 0.2395 0.0190  1 Mn 2.33
13 Mn 0.7869 0.2173 0.3908  4 Cl 2.32-2.44
14 Mn 0.7131 0.6092 0.7827  4 Cl 2.32-2.44
15 Mn 0.2869 0.3908 0.2173  4 Cl 2.32-2.44
16 Mn 0.2131 0.7827 0.6092  4 Cl 2.32-2.44
17 In 0.7500 0.0983 0.9017  6 Cl 3.05-3.33
18 In 0.2500 0.9017 0.0983  6 Cl 3.05-3.33
19 Na 0.2500 0.2838 0.7162  6 Cl 2.76-3.02
20 Na 0.7500 0.7162 0.2838  6 Cl 2.76-3.02

# 9
Compound: NpMnInCl6
Source: Alexandria via LeMat-Bulk
Functional: GGA-PBE
Structure: optimized geometry

* E_tot: -5.079 eV/atom
* space group: P-31c
* uncorrected formation energy: -1087 meV/atom
* size of the total moment: 3.07 μB per formula unit

a = 6.4447 Å, b = 6.4447 Å, c = 14.6597 Å
α = 90.00°, β = 90.00°, γ = 120.00°
Closest atoms and distances in Å follow each position.
Atoms (fractional coordinates):
1 Cl 0.0417 0.6693 0.3477  1 Mn 2.37
2 Cl 0.0417 0.3724 0.1523  1 Mn 2.37
3 Cl 0.3307 0.9583 0.1523  1 Mn 2.37
4 Cl 0.6693 0.6276 0.6523  1 Mn 2.37
5 Cl 0.6276 0.6693 0.1523  1 Mn 2.37
6 Cl 0.9583 0.3307 0.6523  1 Mn 2.37
7 Cl 0.6693 0.0417 0.8477  1 Mn 2.37
8 Cl 0.3307 0.3724 0.3477  1 Mn 2.37
9 Cl 0.6276 0.9583 0.3477  1 Mn 2.37
10 Cl 0.3724 0.3307 0.8477  1 Mn 2.37
11 Cl 0.3724 0.0417 0.6523  1 Mn 2.37
12 Cl 0.9583 0.6276 0.8477  1 Mn 2.37
13 Np 0.6667 0.3333 0.2500  6 Cl 2.71
14 Np 0.3333 0.6667 0.7500  6 Cl 2.71
15 In 0.0000 0.0000 0.0000  6 Cl 3.19
16 In 0.0000 0.0000 0.5000  6 Cl 3.19
17 Mn 0.6667 0.3333 0.7500  6 Cl 2.37
18 Mn 0.3333 0.6667 0.2500  6 Cl 2.37